w.
CdCuAu4: optimized geometry, PBE.

Unit cell a=3.054 b=3.054 c=11.314 alpha=90.00 beta=90.00 gamma=90.00
Positions (direct):
Au 0.500 0.500 0.820
Au 0.000 0.000 0.358
Au 0.500 0.500 0.180
Au 0.000 0.000 0.642
Cd 0.000 0.000 0.000
Cu 0.500 0.500 0.500

Mass density in g cm⁻³: 15.172

x.
CdCuAu4: optimized geometry, PBE.

Unit cell a=5.498 b=5.498 c=5.498 alpha=60.00 beta=60.00 gamma=60.00
Positions (direct):
Cd 0.750 0.750 0.750
Au 0.876 0.375 0.375
Au 0.375 0.375 0.375
Au 0.375 0.375 0.876
Au 0.375 0.876 0.375
Cu 0.000 0.000 0.000

Mass density in g cm⁻³: 13.617

Stability, lowest: x

w.
Cd4CuAu: optimized geometry, PBE.

Unit cell a=4.528 b=4.528 c=6.588 alpha=89.99 beta=90.00 gamma=90.01
Positions (direct):
Cd 0.001 0.497 0.734
Cd 0.001 0.497 0.262
Cd 0.501 0.997 0.262
Cd 0.501 0.997 0.734
Au 0.501 0.497 0.998
Cu 0.001 0.997 0.498

Mass density in g cm⁻³: 8.732

x.
Cd4CuAu: optimized geometry, PBE.

Unit cell a=5.601 b=5.601 c=5.601 alpha=60.00 beta=60.00 gamma=60.00
Positions (direct):
Au 0.000 0.000 0.000
Cd 0.375 0.375 0.375
Cd 0.875 0.375 0.375
Cd 0.375 0.875 0.375
Cd 0.375 0.375 0.875
Cu 0.750 0.750 0.750

Mass density in g cm⁻³: 9.492

y.
Cd4CuAu: optimized geometry, PBE.

Unit cell a=5.483 b=5.483 c=5.483 alpha=103.82 beta=103.82 gamma=121.48
Positions (direct):
Au 0.000 0.000 0.000
Cd 0.090 0.910 0.500
Cd 0.410 0.590 0.500
Cd 0.910 0.410 0.819
Cd 0.590 0.090 0.181
Cu 0.500 0.500 0.000

Mass density in g cm⁻³: 9.618

Stability, lowest: x